Material: ThAl3Cu
Method: DFT, PBE
State: optimized geometry

Computed properties:
- excess energy over the best structure of this formula in the dataset (eV/f.u.) = 0.372
- formation energy (eV per atom) = -0.3576
- crystal system = orthorhombic

```
data_ThAl3Cu
_chemical_formula_sum 'Th4 Al12 Cu4'
_cell_length_a 8.328
_cell_length_b 4.189
_cell_length_c 10.891
_cell_angle_alpha 90.00
_cell_angle_beta 90.00
_cell_angle_gamma 90.00
_symmetry_space_group_name_H-M 'P n m a'
_symmetry_Int_Tables_number 62
_symmetry_space_group_name_Hall '-P 2ac 2n'
loop_
_atom_site_label
_atom_site_fract_x
_atom_site_fract_y
_atom_site_fract_z
_atom_site_occupancy
Th1 0.181 0.250 0.002 1
Al1 0.064 0.250 0.592 1
Al2 0.118 0.750 0.784 1
Al3 0.140 0.750 0.218 1
Cu1 0.102 0.250 0.361 1
```

***

Material: Sr4InW
Method: DFT, PBE
State: optimized geometry

Computed properties:
- formation energy (eV per atom) = 1.1562
- crystal system = cubic

```
data_Sr4InW
_chemical_formula_sum 'Sr16 In4 W4'
_cell_length_a 9.603
_cell_length_b 9.603
_cell_length_c 9.603
_cell_angle_alpha 90.00
_cell_angle_beta 90.00
_cell_angle_gamma 90.00
_symmetry_space_group_name_H-M 'F -4 3 m'
_symmetry_Int_Tables_number 216
_symmetry_space_group_name_Hall 'F -4 2 3'
loop_
_atom_site_label
_atom_site_fract_x
_atom_site_fract_y
_atom_site_fract_z
_atom_site_occupancy
Sr1 0.125 0.125 0.125 1
In1 0.000 0.000 0.500 1
W1 0.250 0.250 0.750 1
```

***

Material: TbSm4In
Method: DFT, PBE
State: optimized geometry

Computed properties:
- excess energy over the best structure of this formula in the dataset (eV/f.u.) = 0.293
- formation energy (eV per atom) = -0.0180
- crystal system = orthorhombic

```
data_TbSm4In
_chemical_formula_sum 'Tb4 Sm16 In4'
_cell_length_a 5.677
_cell_length_b 21.248
_cell_length_c 6.472
_cell_angle_alpha 90.00
_cell_angle_beta 90.00
_cell_angle_gamma 90.00
_symmetry_space_group_name_H-M 'C m c 21'
_symmetry_Int_Tables_number 36
_symmetry_space_group_name_Hall 'C 2c -2'
loop_
_atom_site_label
_atom_site_fract_x
_atom_site_fract_y
_atom_site_fract_z
_atom_site_occupancy
Tb1 0.000 0.136 0.000 1
Sm1 0.000 0.063 0.513 1
Sm2 0.000 0.251 0.384 1
Sm3 0.000 0.313 0.855 1
Sm4 0.000 0.458 0.695 1
In1 0.000 0.396 0.251 1
```

***

Material: HgSbOs2
Method: DFT, PBE
State: optimized geometry

Computed properties:
- excess energy over the best structure of this formula in the dataset (eV/f.u.) = 1.160
- ΔE_f (raw) (kcal/mol of atoms) = 18.263
- crystal system = trigonal

```
data_HgSbOs2
_chemical_formula_sum 'Hg3 Sb3 Os6'
_cell_length_a 3.0554
_cell_length_b 3.0554
_cell_length_c 26.3072
_cell_angle_alpha 90.00
_cell_angle_beta 90.00
_cell_angle_gamma 120.00
_symmetry_space_group_name_H-M 'R -3 m'
_symmetry_Int_Tables_number 166
_symmetry_space_group_name_Hall '-R 3 2"'
loop_
_atom_site_label
_atom_site_fract_x
_atom_site_fract_y
_atom_site_fract_z
_atom_site_occupancy
Hg1 0.0000 0.0000 0.0000 1
Sb1 0.0000 0.0000 0.5000 1
Os1 0.0000 0.0000 0.2432 1
```

***

Material: PtS3
Method: DFT, PBE
State: optimized geometry

Computed properties:
- ΔE_f (raw) (kcal/mol of atoms) = 7.595
- crystal system = orthorhombic

```
data_PtS3
_chemical_formula_sum 'Pt2 S6'
_cell_length_a 3.580
_cell_length_b 4.202
_cell_length_c 10.837
_cell_angle_alpha 90.00
_cell_angle_beta 90.00
_cell_angle_gamma 90.00
_symmetry_space_group_name_H-M 'I m m m'
_symmetry_Int_Tables_number 71
_symmetry_space_group_name_Hall '-I 2 2'
loop_
_atom_site_label
_atom_site_fract_x
_atom_site_fract_y
_atom_site_fract_z
_atom_site_occupancy
Pt1 0.000 0.000 0.000 1
S1 0.000 0.000 0.500 1
S2 0.000 0.500 0.354 1
```